Entry from Alexandria via LeMat-Bulk: a geometry-optimized In2TePb structure (PBE-GGA). Values from VASP.

Geometry as Quantum ESPRESSO input:
```
&SYSTEM
  ibrav = 0, nat = 4, ntyp = 3
/
ATOMIC_SPECIES
In 114.82 In.upf
Te 127.60 Te.upf
Pb 207.20 Pb.upf
ATOMIC_POSITIONS crystal
In 0.250 0.750 0.500
In 0.750 0.250 0.500
Te 0.000 0.000 0.000
Pb 0.500 0.500 0.000
CELL_PARAMETERS angstrom
-2.328 2.328 5.673
2.328 -2.328 5.673
2.328 2.328 -5.673
```

Computed properties:
formation energy from raw total energies	-0.077	eV per atom
Fermi-level density of states	0.36	states/eV per atom
mass density	7.62	Mg/m³
excess energy over the best structure of this formula in the dataset	8	meV/atom